1.
Below is a relaxed structure of KTa2Pt, with properties calculated at the PBE level.

Output
- formation energy (eV per atom) = 1.0289
- Fermi-level density of states (states/eV/f.u.) = 4.08
- M_tot (μB per atom) = 0.0000

Cell lengths 4.0610, 4.0610, 4.8588 Å; angles 90.00, 90.00, 90.00 degrees
Closest atoms and distances in Å follow each position.
Fractional coordinates of all 4 atoms:
K (0.0000, 0.0000, 0.0000)  4 Pt 2.87, 8 Ta 3.17
Ta (0.0000, 0.5000, 0.5000)  4 Ta 2.87, 4 K 3.17, 4 Pt 3.17
Ta (0.5000, 0.0000, 0.5000)  4 Ta 2.87, 4 K 3.17, 4 Pt 3.17
Pt (0.5000, 0.5000, 0.0000)  4 K 2.87, 8 Ta 3.17


2.
Below is a relaxed structure of KTa2Pt, with properties calculated at the PBE level.

Output
- formation energy (eV per atom) = 0.9798
- Fermi-level density of states (states/eV/f.u.) = 3.05
- M_tot (μB per atom) = 0.0000

Cell lengths 4.6983, 4.6983, 4.6983 Å; angles 60.00, 60.00, 60.00 degrees
Closest atoms and distances in Å follow each position.
Fractional coordinates of all 4 atoms:
K (0.0000, 0.0000, 0.0000)  8 Ta 2.88
Ta (0.2500, 0.2500, 0.2500)  4 K 2.88, 4 Pt 2.88
Ta (0.7500, 0.7500, 0.7500)  4 Pt 2.88, 4 K 2.88
Pt (0.5000, 0.5000, 0.5000)  8 Ta 2.88


3.
Below is a relaxed structure of KTaPt2, with properties calculated at the PBE level.

Output
- formation energy (eV per atom) = -0.1464
- Fermi-level density of states (states/eV/f.u.) = 2.62
- M_tot (μB per atom) = 0.0000

Cell lengths 3.9113, 3.9113, 8.4661 Å; angles 93.28, 93.28, 42.98 degrees
Closest atoms and distances in Å follow each position.
Fractional coordinates of all 4 atoms:
K (0.0000, 0.0000, 0.0000)  2 K 2.87
Ta (0.5000, 0.5000, 0.5000)  6 Pt 2.56-2.73
Pt (0.2421, 0.2421, 0.6921)  3 Ta 2.56-2.73
Pt (0.7579, 0.7579, 0.3079)  3 Ta 2.56-2.73


Number 1: total DFT energy (no corrections) -6.68 eV/atom. Number 2: total DFT energy (no corrections) -6.73 eV/atom. Number 3: total DFT energy (no corrections) -6.40 eV/atom.